Record 1
# GGA-PBE Nd6Al43W4, optimized geometry
data_Nd6Al43W4
_chemical_formula_sum 'Nd12 Al86 W8'
_space_group_name_H-M_alt 'P 1'
_space_group_IT_number 1
_cell_length_a 11.094
_cell_length_b 11.094
_cell_length_c 17.957
_cell_angle_alpha 90.00
_cell_angle_beta 90.00
_cell_angle_gamma 120.00
loop_
_space_group_symop_operation_xyz
'x,y,z'
loop_
_atom_site_label
_atom_site_type_symbol
_atom_site_fract_x
_atom_site_fract_y
_atom_site_fract_z
Nd1 Nd 0.000 0.470 0.095
Nd2 Nd 0.000 0.470 0.405
Nd3 Nd 0.000 0.530 0.595
Nd4 Nd 0.000 0.530 0.905
Nd5 Nd 0.470 0.000 0.095
Nd6 Nd 0.470 0.000 0.405
Nd7 Nd 0.470 0.470 0.595
Nd8 Nd 0.470 0.470 0.905
Nd9 Nd 0.530 0.000 0.595
Nd10 Nd 0.530 0.000 0.905
Nd11 Nd 0.530 0.530 0.095
Nd12 Nd 0.530 0.530 0.405
Al1 Al 0.000 0.148 0.750
Al2 Al 0.000 0.160 0.114
Al3 Al 0.000 0.160 0.386
Al4 Al 0.000 0.252 0.531
Al5 Al 0.000 0.252 0.969
Al6 Al 0.000 0.748 0.031
Al7 Al 0.000 0.748 0.469
Al8 Al 0.000 0.840 0.614
Al9 Al 0.000 0.840 0.886
Al10 Al 0.000 0.852 0.250
Al11 Al 0.148 0.000 0.750
Al12 Al 0.148 0.148 0.250
Al13 Al 0.148 0.551 0.250
Al14 Al 0.148 0.596 0.750
Al15 Al 0.158 0.394 0.665
Al16 Al 0.158 0.394 0.835
Al17 Al 0.158 0.765 0.165
Al18 Al 0.158 0.765 0.335
Al19 Al 0.160 0.000 0.114
Al20 Al 0.160 0.000 0.386
Al21 Al 0.160 0.160 0.614
Al22 Al 0.160 0.160 0.886
Al23 Al 0.235 0.394 0.165
Al24 Al 0.235 0.394 0.335
Al25 Al 0.235 0.842 0.665
Al26 Al 0.235 0.842 0.835
Al27 Al 0.247 0.494 0.000
Al28 Al 0.247 0.494 0.500
Al29 Al 0.247 0.753 0.000
Al30 Al 0.247 0.753 0.500
Al31 Al 0.252 0.000 0.531
Al32 Al 0.252 0.000 0.969
Al33 Al 0.252 0.252 0.031
Al34 Al 0.252 0.252 0.469
Al35 Al 0.333 0.667 0.127
Al36 Al 0.333 0.667 0.373
Al37 Al 0.333 0.667 0.627
Al38 Al 0.333 0.667 0.873
Al39 Al 0.394 0.158 0.665
Al40 Al 0.394 0.158 0.835
Al41 Al 0.394 0.235 0.165
Al42 Al 0.394 0.235 0.335
Al43 Al 0.404 0.551 0.750
Al44 Al 0.404 0.852 0.250
Al45 Al 0.449 0.596 0.250
Al46 Al 0.449 0.852 0.750
Al47 Al 0.494 0.247 0.000
Al48 Al 0.494 0.247 0.500
Al49 Al 0.506 0.753 0.000
Al50 Al 0.506 0.753 0.500
Al51 Al 0.551 0.148 0.250
Al52 Al 0.551 0.404 0.750
Al53 Al 0.596 0.148 0.750
Al54 Al 0.596 0.449 0.250
Al55 Al 0.606 0.765 0.665
Al56 Al 0.606 0.765 0.835
Al57 Al 0.606 0.842 0.165
Al58 Al 0.606 0.842 0.335
Al59 Al 0.667 0.333 0.127
Al60 Al 0.667 0.333 0.373
Al61 Al 0.667 0.333 0.627
Al62 Al 0.667 0.333 0.873
Al63 Al 0.748 0.000 0.031
Al64 Al 0.748 0.000 0.469
Al65 Al 0.748 0.748 0.531
Al66 Al 0.748 0.748 0.969
Al67 Al 0.753 0.247 0.000
Al68 Al 0.753 0.247 0.500
Al69 Al 0.753 0.506 0.000
Al70 Al 0.753 0.506 0.500
Al71 Al 0.765 0.158 0.165
Al72 Al 0.765 0.158 0.335
Al73 Al 0.765 0.606 0.665
Al74 Al 0.765 0.606 0.835
Al75 Al 0.840 0.000 0.614
Al76 Al 0.840 0.000 0.886
Al77 Al 0.840 0.840 0.114
Al78 Al 0.840 0.840 0.386
Al79 Al 0.842 0.235 0.665
Al80 Al 0.842 0.235 0.835
Al81 Al 0.842 0.606 0.165
Al82 Al 0.842 0.606 0.335
Al83 Al 0.852 0.000 0.250
Al84 Al 0.852 0.404 0.250
Al85 Al 0.852 0.449 0.750
Al86 Al 0.852 0.852 0.750
W1 W 0.000 0.000 0.000
W2 W 0.000 0.000 0.500
W3 W 0.000 0.268 0.250
W4 W 0.000 0.732 0.750
W5 W 0.268 0.000 0.250
W6 W 0.268 0.268 0.750
W7 W 0.732 0.000 0.750
W8 W 0.732 0.732 0.250
# - raw total energy (eV/atom) = -4.825
# - crystal system = hexagonal

Record 2
# GGA-PBE NdYAl, optimized geometry
data_NdYAl
_chemical_formula_sum 'Nd4 Y4 Al4'
_space_group_name_H-M_alt 'P 1'
_space_group_IT_number 1
_cell_length_a 7.222
_cell_length_b 7.222
_cell_length_c 7.222
_cell_angle_alpha 90.00
_cell_angle_beta 90.00
_cell_angle_gamma 90.00
loop_
_space_group_symop_operation_xyz
'x,y,z'
loop_
_atom_site_label
_atom_site_type_symbol
_atom_site_fract_x
_atom_site_fract_y
_atom_site_fract_z
Nd1 Nd 0.000 0.000 0.000
Nd2 Nd 0.000 0.500 0.500
Nd3 Nd 0.500 0.000 0.500
Nd4 Nd 0.500 0.500 0.000
Y1 Y 0.250 0.250 0.750
Y2 Y 0.250 0.750 0.250
Y3 Y 0.750 0.250 0.250
Y4 Y 0.750 0.750 0.750
Al1 Al 0.000 0.000 0.500
Al2 Al 0.000 0.500 0.000
Al3 Al 0.500 0.000 0.000
Al4 Al 0.500 0.500 0.500
# - raw total energy (eV/atom) = -4.494
# - crystal system = cubic

Record 3
# GGA-PBE Al12Ni, optimized geometry
data_Al12Ni
_chemical_formula_sum 'Al12 Ni1'
_space_group_name_H-M_alt 'P 1'
_space_group_IT_number 1
_cell_length_a 9.343
_cell_length_b 9.343
_cell_length_c 9.343
_cell_angle_alpha 32.73
_cell_angle_beta 32.73
_cell_angle_gamma 32.73
loop_
_space_group_symop_operation_xyz
'x,y,z'
loop_
_atom_site_label
_atom_site_type_symbol
_atom_site_fract_x
_atom_site_fract_y
_atom_site_fract_z
Al1 Al 0.049 0.049 0.049
Al2 Al 0.091 0.592 0.592
Al3 Al 0.151 0.151 0.151
Al4 Al 0.335 0.335 0.335
Al5 Al 0.408 0.408 0.909
Al6 Al 0.408 0.909 0.408
Al7 Al 0.592 0.091 0.592
Al8 Al 0.592 0.592 0.091
Al9 Al 0.665 0.665 0.665
Al10 Al 0.849 0.849 0.849
Al11 Al 0.909 0.408 0.408
Al12 Al 0.951 0.951 0.951
Ni1 Ni 0.500 0.500 0.500
# - raw total energy (eV/atom) = -3.888
# - crystal system = trigonal

Record 4
# GGA-PBE AlNi2, optimized geometry
data_AlNi2
_chemical_formula_sum 'Al4 Ni8'
_space_group_name_H-M_alt 'P 1'
_space_group_IT_number 1
_cell_length_a 4.677
_cell_length_b 4.677
_cell_length_c 7.308
_cell_angle_alpha 90.00
_cell_angle_beta 90.00
_cell_angle_gamma 114.26
loop_
_space_group_symop_operation_xyz
'x,y,z'
loop_
_atom_site_label
_atom_site_type_symbol
_atom_site_fract_x
_atom_site_fract_y
_atom_site_fract_z
Al1 Al 0.160 0.328 0.250
Al2 Al 0.328 0.160 0.750
Al3 Al 0.672 0.840 0.250
Al4 Al 0.840 0.672 0.750
Ni1 Ni 0.164 0.836 0.065
Ni2 Ni 0.164 0.836 0.435
Ni3 Ni 0.324 0.676 0.750
Ni4 Ni 0.500 0.500 0.000
Ni5 Ni 0.500 0.500 0.500
Ni6 Ni 0.676 0.324 0.250
Ni7 Ni 0.836 0.164 0.565
Ni8 Ni 0.836 0.164 0.935
# - raw total energy (eV/atom) = -5.231
# - crystal system = orthorhombic